Entry 1:
{
  "formula": "CaSn4Au4",
  "functional": "PBE-GGA",
  "state": "optimized geometry",
  "spacegroup": "P4_2/nmc, No. 137",
  "e_form_kcal_per_mol_atoms": -6.30,
  "cell": [[7.3779, 0.0000, 0.0000], [0.0000, 7.3779, 0.0000], [0.0000, 0.0000, 8.4972]],
  "species": ["Ca", "Ca", "Sn", "Sn", "Sn", "Sn", "Sn", "Sn", "Sn", "Sn", "Au", "Au", "Au", "Au", "Au", "Au", "Au", "Au"],
  "frac_coords": [[0.2500, 0.7500, 0.2500], [0.7500, 0.2500, 0.7500], [0.0208, 0.2500, 0.1241], [0.2500, 0.0208, 0.6241], [0.2500, 0.4792, 0.6241], [0.4792, 0.2500, 0.1241], [0.5208, 0.7500, 0.8759], [0.7500, 0.5208, 0.3759], [0.7500, 0.9792, 0.3759], [0.9792, 0.7500, 0.8759], [0.0090, 0.2500, 0.4583], [0.2500, 0.0090, 0.9583], [0.2500, 0.4910, 0.9583], [0.4910, 0.2500, 0.4583], [0.5090, 0.7500, 0.5417], [0.7500, 0.5090, 0.0417], [0.7500, 0.9910, 0.0417], [0.9910, 0.7500, 0.5417]]
}

=====

Entry 2:
{
  "formula": "PmTmCoSn",
  "functional": "PBE-GGA",
  "state": "optimized geometry",
  "spacegroup": "F-43m, No. 216",
  "e_form_kcal_per_mol_atoms": -6.39,
  "cell": [[0.0000, 3.6186, 3.6186], [3.6186, 0.0000, 3.6186], [3.6186, 3.6186, 0.0000]],
  "species": ["Pm", "Tm", "Co", "Sn"],
  "frac_coords": [[0.0000, 0.0000, 0.0000], [0.5000, 0.5000, 0.5000], [0.7500, 0.7500, 0.7500], [0.2500, 0.2500, 0.2500]]
}

=====

Entry 3:
{
  "formula": "Re2SnAs",
  "functional": "PBE-GGA",
  "state": "optimized geometry",
  "relative_energy_mev_per_atom": 126,
  "spacegroup": "I-42d, No. 122",
  "e_form_kcal_per_mol_atoms": 15.86,
  "cell": [[-2.0948, 2.0948, 8.8929], [2.0948, -2.0948, 8.8929], [2.0948, 2.0948, -8.8929]],
  "species": ["Re", "Re", "Re", "Re", "Sn", "Sn", "As", "As"],
  "frac_coords": [[0.0408, 0.6250, 0.9158], [0.3750, 0.2908, 0.4158], [0.7092, 0.1250, 0.0842], [0.8750, 0.9592, 0.5842], [0.2500, 0.7500, 0.5000], [0.5000, 0.5000, 0.0000], [0.0000, 0.0000, 0.0000], [0.7500, 0.2500, 0.5000]]
}

=====

Entry 4:
{
  "formula": "Nd2InGa3Rh4",
  "functional": "PBE-GGA",
  "state": "optimized geometry",
  "spacegroup": "P-4m2, No. 115",
  "e_form_kcal_per_mol_atoms": -16.84,
  "cell": [[4.3193, 0.0000, 0.0000], [0.0000, 4.3193, 0.0000], [0.0000, 0.0000, 10.4541]],
  "species": ["Nd", "Nd", "In", "Ga", "Ga", "Ga", "Rh", "Rh", "Rh", "Rh"],
  "frac_coords": [[0.0000, 0.5000, 0.2333], [0.5000, 0.0000, 0.7667], [0.0000, 0.0000, 0.5000], [0.0000, 0.5000, 0.8803], [0.5000, 0.0000, 0.1197], [0.5000, 0.5000, 0.5000], [0.0000, 0.0000, 0.0000], [0.0000, 0.5000, 0.6445], [0.5000, 0.0000, 0.3555], [0.5000, 0.5000, 0.0000]]
}

=====

Entry 5:
{
  "formula": "PmHoBe2",
  "functional": "PBE-GGA",
  "state": "optimized geometry",
  "relative_energy_mev_per_atom": 3,
  "spacegroup": "Fm-3m, No. 225",
  "e_form_kcal_per_mol_atoms": 3.31,
  "cell": [[0.0000, 3.4444, 3.4444], [3.4444, 0.0000, 3.4444], [3.4444, 3.4444, 0.0000]],
  "species": ["Pm", "Ho", "Be", "Be"],
  "frac_coords": [[0.0000, 0.0000, 0.0000], [0.5000, 0.5000, 0.5000], [0.2500, 0.2500, 0.2500], [0.7500, 0.7500, 0.7500]]
}

=====

Entry 6:
{
  "formula": "AcPmSi2O8",
  "functional": "PBE-GGA",
  "state": "optimized geometry",
  "spacegroup": "P-3m1, No. 164",
  "formation_energy_uncorrected_ev_per_atom": -2.6759,
  "cell": [[5.5065, 0.0000, 0.0000], [-2.7533, 4.7688, 0.0000], [0.0000, 0.0000, 7.5588]],
  "species": ["Ac", "Pm", "Si", "Si", "O", "O", "O", "O", "O", "O", "O", "O"],
  "frac_coords": [[0.0000, 0.0000, 0.0000], [0.0000, 0.0000, 0.5000], [0.3333, 0.6667, 0.2141], [0.6667, 0.3333, 0.7859], [0.1704, 0.3408, 0.2793], [0.1704, 0.8296, 0.2793], [0.3333, 0.6667, 0.9953], [0.3408, 0.1704, 0.7207], [0.6592, 0.8296, 0.2793], [0.6667, 0.3333, 0.0047], [0.8296, 0.1704, 0.7207], [0.8296, 0.6592, 0.7207]]
}

=====

Entry 7:
{
  "formula": "BaScAs3",
  "functional": "PBE-GGA",
  "state": "optimized geometry",
  "relative_energy_mev_per_atom": 0,
  "spacegroup": "Pm-3m, No. 221",
  "e_form_kcal_per_mol_atoms": -15.20,
  "cell": [[5.1949, 0.0000, 0.0000], [0.0000, 5.1949, 0.0000], [0.0000, 0.0000, 5.1949]],
  "species": ["Ba", "Sc", "As", "As", "As"],
  "frac_coords": [[0.0000, 0.0000, 0.0000], [0.5000, 0.5000, 0.5000], [0.0000, 0.5000, 0.5000], [0.5000, 0.0000, 0.5000], [0.5000, 0.5000, 0.0000]]
}

=====

Entry 8:
{
  "formula": "Ti3Mn2V",
  "functional": "PBE-GGA",
  "state": "optimized geometry",
  "spacegroup": "P4/mmm, No. 123",
  "e_form_kcal_per_mol_atoms": -2.93,
  "cell": [[2.9809, 0.0000, 0.0000], [0.0000, 2.9809, 0.0000], [0.0000, 0.0000, 9.3873]],
  "species": ["Ti", "Ti", "Ti", "Mn", "Mn", "V"],
  "frac_coords": [[0.0000, 0.0000, 0.0000], [0.0000, 0.0000, 0.3126], [0.0000, 0.0000, 0.6874], [0.5000, 0.5000, 0.1626], [0.5000, 0.5000, 0.8374], [0.5000, 0.5000, 0.5000]]
}

=====

Entry 9:
{
  "formula": "Tc2AgB",
  "functional": "PBE-GGA",
  "state": "optimized geometry",
  "spacegroup": "I-42d, No. 122",
  "e_form_kcal_per_mol_atoms": 24.47,
  "cell": [[-1.8502, 1.8502, 8.8422], [1.8502, -1.8502, 8.8422], [1.8502, 1.8502, -8.8422]],
  "species": ["Tc", "Tc", "Tc", "Tc", "Ag", "Ag", "B", "B"],
  "frac_coords": [[0.0618, 0.6250, 0.9368], [0.3750, 0.3118, 0.4368], [0.6882, 0.1250, 0.0632], [0.8750, 0.9382, 0.5632], [0.2500, 0.7500, 0.5000], [0.5000, 0.5000, 0.0000], [0.0000, 0.0000, 0.0000], [0.7500, 0.2500, 0.5000]]
}

=====

Entry 10:
{
  "formula": "PmCN2O",
  "functional": "PBE-GGA",
  "state": "optimized geometry",
  "spacegroup": "P2_1/m, No. 11",
  "formation_energy_uncorrected_ev_per_atom": -0.9743,
  "cell": [[6.2277, 0.0000, 0.0000], [0.0000, 3.9886, 0.0000], [-1.1800, 0.0000, 6.8700]],
  "species": ["Pm", "Pm", "C", "C", "N", "N", "N", "N", "O", "O"],
  "frac_coords": [[0.2340, 0.2500, 0.1086], [0.7660, 0.7500, 0.8914], [0.3560, 0.2500, 0.6442], [0.6440, 0.7500, 0.3558], [0.2827, 0.2500, 0.4710], [0.4360, 0.2500, 0.8210], [0.5640, 0.7500, 0.1790], [0.7173, 0.7500, 0.5290], [0.0709, 0.7500, 0.1260], [0.9291, 0.2500, 0.8740]]
}

=====

Entry 11:
{
  "formula": "CsNa2CaP",
  "functional": "PBE-GGA",
  "state": "optimized geometry",
  "relative_energy_mev_per_atom": 1146,
  "spacegroup": "P4/mmm, No. 123",
  "e_form_kcal_per_mol_atoms": 21.74,
  "cell": [[6.1809, 0.0000, 0.0000], [0.0000, 6.1809, 0.0000], [0.0000, 0.0000, 7.1907]],
  "species": ["Cs", "Na", "Na", "Ca", "P"],
  "frac_coords": [[0.0000, 0.0000, 0.0000], [0.0000, 0.5000, 0.5000], [0.5000, 0.0000, 0.5000], [0.0000, 0.0000, 0.5000], [0.5000, 0.5000, 0.0000]]
}

=====

Entry 12:
{
  "formula": "Mg5Cd2InAu2",
  "functional": "PBE-GGA",
  "state": "optimized geometry",
  "spacegroup": "P4/mbm, No. 127",
  "e_form_kcal_per_mol_atoms": -5.63,
  "cell": [[10.2998, 0.0000, 0.0000], [0.0000, 10.2998, 0.0000], [0.0000, 0.0000, 4.1429]],
  "species": ["Mg", "Mg", "Mg", "Mg", "Mg", "Mg", "Mg", "Mg", "Mg", "Mg", "Cd", "Cd", "Cd", "Cd", "In", "In", "Au", "Au", "Au", "Au"],
  "frac_coords": [[0.0000, 0.5000, 0.0000], [0.0794, 0.2034, 0.0000], [0.2034, 0.9206, 0.0000], [0.2966, 0.4206, 0.0000], [0.4206, 0.7034, 0.0000], [0.5000, 0.0000, 0.0000], [0.5794, 0.2966, 0.0000], [0.7034, 0.5794, 0.0000], [0.7966, 0.0794, 0.0000], [0.9206, 0.7966, 0.0000], [0.1694, 0.6694, 0.5000], [0.3306, 0.1694, 0.5000], [0.6694, 0.8306, 0.5000], [0.8306, 0.3306, 0.5000], [0.0000, 0.0000, 0.5000], [0.5000, 0.5000, 0.5000], [0.1278, 0.3722, 0.5000], [0.3722, 0.8722, 0.5000], [0.6278, 0.1278, 0.5000], [0.8722, 0.6278, 0.5000]]
}

=====

Entry 13:
{
  "formula": "CuIrRu2",
  "functional": "PBE-GGA",
  "state": "optimized geometry",
  "relative_energy_mev_per_atom": 32,
  "spacegroup": "R-3m, No. 166",
  "e_form_kcal_per_mol_atoms": 3.72,
  "cell": [[1.3498, 0.7793, 8.7689], [-1.3498, 0.7793, 8.7689], [0.0000, -1.5586, 8.7689]],
  "species": ["Cu", "Ir", "Ru", "Ru"],
  "frac_coords": [[0.0000, 0.0000, 0.0000], [0.5000, 0.5000, 0.5000], [0.2506, 0.2506, 0.2506], [0.7494, 0.7494, 0.7494]]
}

=====

Entry 14:
{
  "formula": "Hg2TePd2",
  "functional": "PBE-GGA",
  "state": "optimized geometry",
  "relative_energy_mev_per_atom": 0,
  "spacegroup": "Pmmn, No. 59",
  "formation_energy_uncorrected_ev_per_atom": -0.1034,
  "cell": [[3.3742, 0.0000, 0.0000], [0.0000, 11.5861, 0.0000], [0.0000, 0.0000, 5.7513]],
  "species": ["Hg", "Hg", "Hg", "Hg", "Te", "Te", "Pd", "Pd", "Pd", "Pd"],
  "frac_coords": [[0.2500, 0.0990, 0.1580], [0.2500, 0.4010, 0.1580], [0.7500, 0.5990, 0.8420], [0.7500, 0.9010, 0.8420], [0.2500, 0.7500, 0.2308], [0.7500, 0.2500, 0.7692], [0.2500, 0.0785, 0.6360], [0.2500, 0.4215, 0.6360], [0.7500, 0.5785, 0.3640], [0.7500, 0.9215, 0.3640]]
}

=====

Entry 15:
{
  "formula": "NpPaRh",
  "functional": "PBE-GGA",
  "state": "optimized geometry",
  "spacegroup": "C2/m, No. 12",
  "e_form_kcal_per_mol_atoms": -4.87,
  "cell": [[5.0399, -2.3173, 0.0000], [5.0399, 2.3173, 0.0000], [-3.4885, 0.0000, 4.9313]],
  "species": ["Np", "Np", "Pa", "Pa", "Rh", "Rh"],
  "frac_coords": [[0.1378, 0.1378, 0.0701], [0.8622, 0.8622, 0.9299], [0.1905, 0.1905, 0.6901], [0.8095, 0.8095, 0.3099], [0.4632, 0.4632, 0.7002], [0.5368, 0.5368, 0.2998]]
}

=====

Entry 16:
{
  "formula": "Li2NiRu",
  "functional": "PBE-GGA",
  "state": "optimized geometry",
  "relative_energy_mev_per_atom": 88,
  "spacegroup": "R3m, No. 160",
  "e_form_kcal_per_mol_atoms": 3.17,
  "cell": [[1.3264, 0.7658, 9.0724], [-1.3264, 0.7658, 9.0724], [0.0000, -1.5316, 9.0724]],
  "species": ["Li", "Li", "Ni", "Ru"],
  "frac_coords": [[0.0000, 0.0000, 0.0000], [0.2355, 0.2355, 0.2355], [0.7441, 0.7441, 0.7441], [0.4857, 0.4857, 0.4857]]
}

=====

Entry 17:
{
  "formula": "PmSm4Ho5",
  "functional": "PBE-GGA",
  "state": "optimized geometry",
  "relative_energy_mev_per_atom": 0,
  "spacegroup": "C2/m, No. 12",
  "e_form_kcal_per_mol_atoms": 4.40,
  "cell": [[8.5996, -1.7696, 0.0000], [8.5996, 1.7696, 0.0000], [-0.0301, 0.0000, 11.1281]],
  "species": ["Pm", "Sm", "Sm", "Sm", "Sm", "Ho", "Ho", "Ho", "Ho", "Ho"],
  "frac_coords": [[0.0000, 0.0000, 0.0000], [0.1548, 0.1548, 0.2498], [0.4703, 0.4703, 0.2518], [0.5297, 0.5297, 0.7482], [0.8452, 0.8452, 0.7502], [0.0000, 0.0000, 0.5000], [0.3255, 0.3255, 0.0532], [0.3267, 0.3267, 0.4506], [0.6733, 0.6733, 0.5494], [0.6745, 0.6745, 0.9468]]
}

=====

Entry 18:
{
  "formula": "Dy2Zn15Rh2",
  "functional": "PBE-GGA",
  "state": "optimized geometry",
  "spacegroup": "R-3m, No. 166",
  "e_form_kcal_per_mol_atoms": -6.79,
  "cell": [[4.4952, 2.5953, 4.3267], [-4.4952, 2.5953, 4.3267], [0.0000, -5.1906, 4.3267]],
  "species": ["Dy", "Dy", "Zn", "Zn", "Zn", "Zn", "Zn", "Zn", "Zn", "Zn", "Zn", "Zn", "Zn", "Zn", "Zn", "Zn", "Zn", "Rh", "Rh"],
  "frac_coords": [[0.1689, 0.1689, 0.1689], [0.8311, 0.8311, 0.8311], [0.0000, 0.5000, 0.5000], [0.1474, 0.1474, 0.6524], [0.1474, 0.6524, 0.1474], [0.2157, 0.5000, 0.7843], [0.2157, 0.7843, 0.5000], [0.3476, 0.8526, 0.8526], [0.5000, 0.0000, 0.5000], [0.5000, 0.2157, 0.7843], [0.5000, 0.5000, 0.0000], [0.5000, 0.7843, 0.2157], [0.6524, 0.1474, 0.1474], [0.7843, 0.2157, 0.5000], [0.7843, 0.5000, 0.2157], [0.8526, 0.3476, 0.8526], [0.8526, 0.8526, 0.3476], [0.3894, 0.3894, 0.3894], [0.6106, 0.6106, 0.6106]]
}

=====

Entry 19:
{
  "formula": "SrTe2Se2",
  "functional": "PBE-GGA",
  "state": "optimized geometry",
  "relative_energy_mev_per_atom": 247,
  "spacegroup": "I4/mmm, No. 139",
  "formation_energy_uncorrected_ev_per_atom": -0.4496,
  "cell": [[-2.9156, 2.9156, 5.1435], [2.9156, -2.9156, 5.1435], [2.9156, 2.9156, -5.1435]],
  "species": ["Sr", "Te", "Te", "Se", "Se"],
  "frac_coords": [[0.0000, 0.0000, 0.0000], [0.3062, 0.3062, 0.0000], [0.6938, 0.6938, 0.0000], [0.2500, 0.7500, 0.5000], [0.7500, 0.2500, 0.5000]]
}

=====

Per-record D(E_F), states/eV per cell: 6.491 2.501 7.528 7.551 4.543 8.559 3.612 8.248 6.026 7.351 5.522 5.966 4.393 3.385 11.895 3.882 13.689 7.657 2.236
Per-record magnetization, μB/f.u.: 0.00 0.94 0.00 0.00 0.00 2.02 0.00 0.30 0.00 1.02 0.00 0.00 0.00 0.00 1.20 0.53 0.00 0.00 0.00
Per-record ρ, kg/m3: 9354 8613 12044 8719 6663 4653 4821 6060 8631 3912 1511 6462 13740 10954 16462 5215 7703 8290 4754